[1]
# MnRe2RuC

MnRe2RuC after structural relaxation (GGA-PBE, the Alexandria database). Values from VASP.

Summary:
**SG**: No. 123
**Formation enthalpy at 0 K**: 25.5 kJ per mole of atoms
**E**: -10.249 eV per atom

The structure in Quantum ESPRESSO input format:
```
&SYSTEM
  ibrav = 0, nat = 5, ntyp = 4
/
ATOMIC_SPECIES
Re 186.21 Re.upf
C 12.01 C.upf
Mn 54.94 Mn.upf
Ru 101.07 Ru.upf
CELL_PARAMETERS angstrom
4.052 0.000 0.000
0.000 4.027 0.000
0.000 0.000 4.052
ATOMIC_POSITIONS angstrom
Re 0.000 0.000 2.026
Re 2.026 0.000 0.000
C 0.000 0.000 0.000
Mn 2.026 2.014 2.026
Ru 0.000 2.014 0.000
```

[2]
# ScMn2ReC

ScMn2ReC after structural relaxation (GGA-PBE, the Alexandria database). Values from VASP.

Summary:
**SG**: No. 123
**Formation enthalpy at 0 K**: -7.4 kJ per mole of atoms
**E**: -9.345 eV per atom

The structure in Quantum ESPRESSO input format:
```
&SYSTEM
  ibrav = 0, nat = 5, ntyp = 4
/
ATOMIC_SPECIES
Sc 44.96 Sc.upf
Re 186.21 Re.upf
C 12.01 C.upf
Mn 54.94 Mn.upf
CELL_PARAMETERS angstrom
3.937 0.000 0.000
0.000 3.937 0.000
0.000 0.000 4.142
ATOMIC_POSITIONS angstrom
Sc 1.968 1.968 2.071
Re 0.000 0.000 2.071
C 0.000 0.000 0.000
Mn 0.000 1.968 0.000
Mn 1.968 0.000 0.000
```

[3]
# MnReSnCSe

MnReSnCSe after structural relaxation (GGA-PBE, the Alexandria database). Values from VASP.

Summary:
**SG**: No. 1
**E**: -7.492 eV per atom
**Formation energy from raw total energies**: 4.01 kcal/mol of atoms

The structure in Quantum ESPRESSO input format:
```
&SYSTEM
  ibrav = 0, nat = 5, ntyp = 5
/
ATOMIC_SPECIES
Re 186.21 Re.upf
C 12.01 C.upf
Mn 54.94 Mn.upf
Sn 118.71 Sn.upf
Se 78.96 Se.upf
CELL_PARAMETERS angstrom
-2.661 -1.767 0.044
0.198 -3.181 0.239
-1.987 0.526 9.603
ATOMIC_POSITIONS angstrom
Re -1.968 -2.182 2.340
C -1.190 -0.435 3.585
Mn -2.850 -3.694 4.316
Sn -3.946 -1.987 6.504
Se -0.072 -2.191 0.657
```

[4]
# MnReSnCSe

MnReSnCSe after structural relaxation (GGA-PBE, the Alexandria database). Values from VASP.

Summary:
**SG**: No. 1
**E**: -7.404 eV per atom
**Formation energy from raw total energies**: 6.04 kcal/mol of atoms

The structure in Quantum ESPRESSO input format:
```
&SYSTEM
  ibrav = 0, nat = 5, ntyp = 5
/
ATOMIC_SPECIES
Re 186.21 Re.upf
C 12.01 C.upf
Mn 54.94 Mn.upf
Sn 118.71 Sn.upf
Se 78.96 Se.upf
CELL_PARAMETERS angstrom
-1.308 -0.959 -2.582
-0.049 -4.156 -0.226
-7.060 -1.723 2.409
ATOMIC_POSITIONS angstrom
Re -1.892 -2.403 -1.285
C -2.033 -4.801 -0.318
Mn -3.384 -4.560 -1.523
Sn -4.522 -2.467 0.081
Se -6.507 -4.108 1.682
```

[5]
# MnReSnCSe

MnReSnCSe after structural relaxation (GGA-PBE, the Alexandria database). Values from VASP.

Summary:
**SG**: No. 1
**E**: -7.556 eV per atom
**Formation energy from raw total energies**: 2.54 kcal/mol of atoms

The structure in Quantum ESPRESSO input format:
```
&SYSTEM
  ibrav = 0, nat = 5, ntyp = 5
/
ATOMIC_SPECIES
Re 186.21 Re.upf
C 12.01 C.upf
Mn 54.94 Mn.upf
Sn 118.71 Sn.upf
Se 78.96 Se.upf
CELL_PARAMETERS angstrom
3.164 0.000 0.000
1.582 2.741 0.002
1.517 -0.720 10.340
ATOMIC_POSITIONS angstrom
Re 3.050 0.134 7.079
C 3.051 1.960 8.069
Mn 4.633 1.046 9.134
Sn 4.633 1.048 4.693
Se 1.534 0.852 0.448
```

[6]
# MnReSnCSe

MnReSnCSe after structural relaxation (GGA-PBE, the Alexandria database). Values from VASP.

Summary:
**SG**: No. 160
**E**: -7.475 eV per atom
**Formation energy from raw total energies**: 4.41 kcal/mol of atoms

The structure in Quantum ESPRESSO input format:
```
&SYSTEM
  ibrav = 0, nat = 15, ntyp = 5
/
ATOMIC_SPECIES
Re 186.21 Re.upf
C 12.01 C.upf
Mn 54.94 Mn.upf
Sn 118.71 Sn.upf
Se 78.96 Se.upf
CELL_PARAMETERS angstrom
3.122 0.000 0.000
-1.561 2.704 0.000
0.000 0.000 29.827
ATOMIC_POSITIONS angstrom
Re 0.000 0.000 26.613
Re 0.000 1.802 16.670
Re 1.561 0.901 6.728
C 0.000 0.000 17.724
C 0.000 1.802 7.782
C 1.561 0.901 27.667
Mn 0.000 0.000 8.854
Mn 0.000 1.802 28.739
Mn 1.561 0.901 18.796
Sn 0.000 0.000 14.266
Sn 0.000 1.802 4.324
Sn 1.561 0.901 24.208
Se 0.000 0.000 20.481
Se 0.000 1.802 10.539
Se 1.561 0.901 0.596
```

| no. | D(E_F) (states/eV per atom) |
| --- | --- |
| 1 | 0.769 |
| 2 | 0.660 |
| 3 | 0.805 |
| 4 | 0.624 |
| 5 | 0.354 |
| 6 | 0.567 |